Material: TaTl2Zn
Method: DFT, SCAN
State: PBEsol geometry

Output
The energy above the most stable polymorph in this dataset is 0.000 eV/atom. As for the density of states at the Fermi level: 2.00 states/eV per cell. The value obtained for the formation enthalpy at 0 K is 0.556 eV per atom. The spin magnetization comes out at 0.00 μB/cell.

Cell lengths 2.9820, 5.1583, 5.3427 Å; angles 90.00, 90.00, 90.00 degrees
Fractional positions:
Ta: 0.0000 0.0000 0.0000
Tl: 0.0000 0.5000 0.5000
Tl: 0.5000 0.5000 0.0000
Zn: 0.5000 0.0000 0.5000